This record from the Alexandria database describes a geometry-optimized MnZnTc2 structure. The functional is GGA-PBE.

abc: 2.609 4.320 5.062
angles: 90.00 100.41 90.00
Fractional positions:
Mn 0.000 0.000 0.000
Zn 0.180 0.500 0.761
Tc 0.489 0.000 0.501
Tc 0.699 0.500 0.257

Properties
**Calculated density**: 9.36 g/cm3
**Calculated total energy**: -30.622 eV for the cell shown


This record from the Alexandria database describes a geometry-optimized Mn2ZnTc structure. The functional is GGA-PBE.

abc: 4.229 4.229 4.229
angles: 60.00 60.00 60.00
Fractional positions:
Mn 0.000 0.000 0.000
Mn 0.250 0.250 0.250
Zn 0.750 0.750 0.750
Tc 0.500 0.500 0.500

Properties
**Calculated density**: 8.49 g/cm3
**Calculated total energy**: -29.423 eV for the cell shown


This record from the Alexandria database describes a geometry-optimized Mn2ZnTc2 structure. The functional is GGA-PBE.

abc: 7.079 7.079 2.705
angles: 90.00 90.00 90.00
Fractional positions:
Mn 0.125 0.375 0.000
Mn 0.375 0.875 0.000
Mn 0.625 0.125 0.000
Mn 0.875 0.625 0.000
Zn 0.000 0.000 0.000
Zn 0.500 0.500 0.000
Tc 0.166 0.666 0.500
Tc 0.334 0.166 0.500
Tc 0.666 0.834 0.500
Tc 0.834 0.334 0.500

Properties
**Calculated density**: 9.10 g/cm3
**Calculated total energy**: -78.912 eV for the cell shown


This record from the Alexandria database describes a geometry-optimized Mn4ZnTc structure. The functional is GGA-PBE.

abc: 4.688 4.688 4.688
angles: 60.00 60.00 60.00
Fractional positions:
Mn 0.124 0.124 0.124
Mn 0.124 0.124 0.627
Mn 0.124 0.627 0.124
Mn 0.627 0.124 0.124
Zn 0.750 0.750 0.750
Tc 0.500 0.500 0.500

Properties
**Calculated density**: 8.73 g/cm3
**Calculated total energy**: -47.747 eV for the cell shown


This record from the Alexandria database describes a geometry-optimized MnZnTc2 structure. The functional is GGA-PBE.

abc: 4.832 4.832 2.606
angles: 90.00 90.00 114.43
Fractional positions:
Mn 0.000 0.000 0.000
Zn 0.500 0.500 0.000
Tc 0.000 0.500 0.500
Tc 0.500 0.000 0.500

Properties
**Calculated density**: 9.48 g/cm3
**Calculated total energy**: -30.382 eV for the cell shown


This record from the Alexandria database describes a geometry-optimized MnZnTc2 structure. The functional is GGA-PBE.

abc: 4.697 4.697 4.613
angles: 102.72 102.72 34.19
Fractional positions:
Mn 0.000 0.000 0.000
Zn 0.500 0.500 0.500
Tc 0.260 0.260 0.758
Tc 0.740 0.740 0.242

Properties
**Calculated density**: 9.44 g/cm3
**Calculated total energy**: -30.723 eV for the cell shown


This record from the Alexandria database describes a geometry-optimized Mn2ZnTc structure. The functional is GGA-PBE.

abc: 4.462 4.462 2.759
angles: 90.00 90.00 105.85
Fractional positions:
Mn 0.000 0.500 0.000
Mn 0.500 0.000 0.000
Zn 0.000 0.000 0.500
Tc 0.500 0.500 0.500

Properties
**Calculated density**: 8.59 g/cm3
**Calculated total energy**: -29.457 eV for the cell shown


This record from the Alexandria database describes a geometry-optimized Mn2ZnTc structure. The functional is GGA-PBE.

abc: 4.718 4.718 4.718
angles: 135.08 135.08 65.41
Fractional positions:
Mn 0.000 0.000 0.000
Mn 0.750 0.250 0.500
Zn 0.500 0.500 0.000
Tc 0.250 0.750 0.500

Properties
**Calculated density**: 8.79 g/cm3
**Calculated total energy**: -29.392 eV for the cell shown


This record from the Alexandria database describes a geometry-optimized MnZnTc structure. The functional is GGA-PBE.

abc: 7.839 7.839 4.416
angles: 90.00 90.00 161.18
Fractional positions:
Mn 0.195 0.805 0.750
Mn 0.805 0.195 0.250
Zn 0.360 0.640 0.750
Zn 0.640 0.360 0.250
Tc 0.459 0.541 0.250
Tc 0.541 0.459 0.750

Properties
**ΔE to the lowest computed polymorph**: 261 meV per atom
**Calculated density**: 8.29 g/cm3


This record from the Alexandria database describes a geometry-optimized Mn2ZnTc structure. The functional is GGA-PBE.

abc: 8.643 8.643 8.643
angles: 17.60 17.60 17.60
Fractional positions:
Mn 0.000 0.000 0.000
Mn 0.259 0.259 0.259
Zn 0.752 0.752 0.752
Tc 0.510 0.510 0.510

Properties
**Calculated density**: 8.80 g/cm3
**Calculated total energy**: -29.371 eV for the cell shown


This record from the Alexandria database describes a geometry-optimized Mn2ZnTc structure. The functional is GGA-PBE.

abc: 2.970 2.970 6.111
angles: 90.00 90.00 90.00
Fractional positions:
Mn 0.000 0.000 0.000
Mn 0.500 0.500 0.247
Zn 0.500 0.500 0.745
Tc 0.000 0.000 0.461

Properties
**Calculated density**: 8.42 g/cm3
**Calculated total energy**: -29.598 eV for the cell shown


This record from the Alexandria database describes a geometry-optimized Mn2ZnTc structure. The functional is GGA-PBE.

abc: 4.512 4.512 4.512
angles: 130.45 130.45 72.68
Fractional positions:
Mn 0.250 0.750 0.500
Mn 0.750 0.250 0.500
Zn 0.000 0.000 0.000
Tc 0.500 0.500 0.000

Properties
**Calculated density**: 8.73 g/cm3
**Calculated total energy**: -29.546 eV for the cell shown


Question: Among the records above, which one has the highest calculated density?
Answer: number 5


Question: What is the formula in the ninth record?
Answer: MnZnTc